(1)
A plane-wave DFT calculation with PBE-GGA was carried out for a geometry-optimized Rb5Au2Br structure.

Calculated values
VASP energy (eV/atom): -2.173
SG: Cmcm

Cell and atoms, written as CIF:
```
data_Rb5Au2Br
_symmetry_space_group_name_H-M 'P 1'
_symmetry_Int_Tables_number 1
_cell_length_a 6.982
_cell_length_b 8.580
_cell_length_c 16.742
_cell_angle_alpha 90.00
_cell_angle_beta 90.00
_cell_angle_gamma 114.01
loop_
_symmetry_equiv_pos_as_xyz
'x,y,z'
loop_
_atom_site_label
_atom_site_type_symbol
_atom_site_fract_x
_atom_site_fract_y
_atom_site_fract_z
Rb1 Rb 0.340 0.681 0.427
Rb2 Rb 0.340 0.681 0.073
Rb3 Rb 0.051 0.102 0.379
Rb4 Rb 0.051 0.102 0.121
Rb5 Rb 0.259 0.517 0.750
Rb6 Rb 0.741 0.483 0.250
Rb7 Rb 0.949 0.898 0.879
Rb8 Rb 0.949 0.898 0.621
Rb9 Rb 0.660 0.319 0.573
Rb10 Rb 0.660 0.319 0.927
Au1 Au 0.163 0.325 0.942
Au2 Au 0.163 0.325 0.558
Au3 Au 0.837 0.675 0.442
Au4 Au 0.837 0.675 0.058
Br1 Br 0.220 0.440 0.250
Br2 Br 0.780 0.560 0.750
```


(2)
A plane-wave DFT calculation with PBE-GGA was carried out for a geometry-optimized CdOsPb2 structure.

Calculated values
VASP energy (eV/atom): -4.025
Energy relative to the elements (eV per atom): 0.8650
SG: F-43m

Cell and atoms, written as CIF:
```
data_CdOsPb2
_symmetry_space_group_name_H-M 'P 1'
_symmetry_Int_Tables_number 1
_cell_length_a 5.056
_cell_length_b 5.056
_cell_length_c 5.056
_cell_angle_alpha 60.00
_cell_angle_beta 60.00
_cell_angle_gamma 60.00
loop_
_symmetry_equiv_pos_as_xyz
'x,y,z'
loop_
_atom_site_label
_atom_site_type_symbol
_atom_site_fract_x
_atom_site_fract_y
_atom_site_fract_z
Pb1 Pb 0.000 0.000 0.000
Pb2 Pb 0.250 0.250 0.250
Os1 Os 0.750 0.750 0.750
Cd1 Cd 0.500 0.500 0.500
```


(3)
A plane-wave DFT calculation with PBE-GGA was carried out for a geometry-optimized MgCdI2 structure.

Calculated values
Relative energy among the computed polymorphs (meV/atom): 331
VASP energy (eV/atom): -1.605
SG: Fm-3m

Cell and atoms, written as CIF:
```
data_MgCdI2
_symmetry_space_group_name_H-M 'P 1'
_symmetry_Int_Tables_number 1
_cell_length_a 5.558
_cell_length_b 5.558
_cell_length_c 5.558
_cell_angle_alpha 60.00
_cell_angle_beta 60.00
_cell_angle_gamma 60.00
loop_
_symmetry_equiv_pos_as_xyz
'x,y,z'
loop_
_atom_site_label
_atom_site_type_symbol
_atom_site_fract_x
_atom_site_fract_y
_atom_site_fract_z
I1 I 0.250 0.250 0.250
I2 I 0.750 0.750 0.750
Mg1 Mg 0.000 0.000 0.000
Cd1 Cd 0.500 0.500 0.500
```


(4)
A plane-wave DFT calculation with PBE-GGA was carried out for a geometry-optimized Li2RuBr structure.

Calculated values
Relative energy among the computed polymorphs (meV/atom): 152
VASP energy (eV/atom): -3.571
SG: Imm2

Cell and atoms, written as CIF:
```
data_Li2RuBr
_symmetry_space_group_name_H-M 'P 1'
_symmetry_Int_Tables_number 1
_cell_length_a 5.752
_cell_length_b 5.752
_cell_length_c 5.752
_cell_angle_alpha 148.64
_cell_angle_beta 135.78
_cell_angle_gamma 55.21
loop_
_symmetry_equiv_pos_as_xyz
'x,y,z'
loop_
_atom_site_label
_atom_site_type_symbol
_atom_site_fract_x
_atom_site_fract_y
_atom_site_fract_z
Br1 Br 0.279 0.779 0.500
Li1 Li 0.024 0.024 0.000
Li2 Li 0.724 0.224 0.500
Ru1 Ru 0.472 0.472 0.000
```


(5)
A plane-wave DFT calculation with PBE-GGA was carried out for a geometry-optimized Ag3Te structure.

Calculated values
Relative energy among the computed polymorphs (meV/atom): 96
VASP energy (eV/atom): -2.801
SG: Pm-3n

Cell and atoms, written as CIF:
```
data_Ag3Te
_symmetry_space_group_name_H-M 'P 1'
_symmetry_Int_Tables_number 1
_cell_length_a 5.544
_cell_length_b 5.544
_cell_length_c 5.544
_cell_angle_alpha 90.00
_cell_angle_beta 90.00
_cell_angle_gamma 90.00
loop_
_symmetry_equiv_pos_as_xyz
'x,y,z'
loop_
_atom_site_label
_atom_site_type_symbol
_atom_site_fract_x
_atom_site_fract_y
_atom_site_fract_z
Ag1 Ag 0.750 0.500 0.000
Ag2 Ag 0.250 0.500 0.000
Ag3 Ag 0.000 0.750 0.500
Ag4 Ag 0.000 0.250 0.500
Ag5 Ag 0.500 0.000 0.250
Ag6 Ag 0.500 0.000 0.750
Te1 Te 0.000 0.000 0.000
Te2 Te 0.500 0.500 0.500
```


(6)
A plane-wave DFT calculation with PBE-GGA was carried out for a geometry-optimized SbMoP2 structure.

Calculated values
VASP energy (eV/atom): -6.039
SG: Imm2

Cell and atoms, written as CIF:
```
data_SbMoP2
_symmetry_space_group_name_H-M 'P 1'
_symmetry_Int_Tables_number 1
_cell_length_a 5.077
_cell_length_b 5.077
_cell_length_c 5.077
_cell_angle_alpha 141.79
_cell_angle_beta 122.05
_cell_angle_gamma 71.55
loop_
_symmetry_equiv_pos_as_xyz
'x,y,z'
loop_
_atom_site_label
_atom_site_type_symbol
_atom_site_fract_x
_atom_site_fract_y
_atom_site_fract_z
Mo1 Mo 0.217 0.717 0.500
P1 P 0.993 0.993 0.000
P2 P 0.770 0.270 0.500
Sb1 Sb 0.521 0.521 0.000
```


(7)
A plane-wave DFT calculation with PBE-GGA was carried out for a geometry-optimized Sc2MnCd structure.

Calculated values
VASP energy (eV/atom): -5.610
Energy relative to the elements (eV per atom): 0.0766
SG: R-3m

Cell and atoms, written as CIF:
```
data_Sc2MnCd
_symmetry_space_group_name_H-M 'P 1'
_symmetry_Int_Tables_number 1
_cell_length_a 9.660
_cell_length_b 9.660
_cell_length_c 9.660
_cell_angle_alpha 18.90
_cell_angle_beta 18.90
_cell_angle_gamma 18.90
loop_
_symmetry_equiv_pos_as_xyz
'x,y,z'
loop_
_atom_site_label
_atom_site_type_symbol
_atom_site_fract_x
_atom_site_fract_y
_atom_site_fract_z
Cd1 Cd 0.750 0.750 0.750
Mn1 Mn 0.250 0.250 0.250
Sc1 Sc 0.992 0.992 0.992
Sc2 Sc 0.508 0.508 0.508
```


(8)
A plane-wave DFT calculation with PBE-GGA was carried out for a geometry-optimized Co2ReRh structure.

Calculated values
Relative energy among the computed polymorphs (meV/atom): 41
VASP energy (eV/atom): -8.437
Energy relative to the elements (eV per atom): 0.0662
SG: P4/mmm

Cell and atoms, written as CIF:
```
data_Co2ReRh
_symmetry_space_group_name_H-M 'P 1'
_symmetry_Int_Tables_number 1
_cell_length_a 2.646
_cell_length_b 2.646
_cell_length_c 7.245
_cell_angle_alpha 90.00
_cell_angle_beta 90.00
_cell_angle_gamma 90.01
loop_
_symmetry_equiv_pos_as_xyz
'x,y,z'
loop_
_atom_site_label
_atom_site_type_symbol
_atom_site_fract_x
_atom_site_fract_y
_atom_site_fract_z
Co1 Co 0.000 0.000 0.001
Co2 Co 0.000 0.000 0.499
Re1 Re 0.500 0.500 0.250
Rh1 Rh 0.500 0.500 0.750
```


(9)
A plane-wave DFT calculation with PBE-GGA was carried out for a geometry-optimized PrSm4Dy3 structure.

Calculated values
Relative energy among the computed polymorphs (meV/atom): 0
VASP energy (eV/atom): -4.667
Energy relative to the elements (eV per atom): 0.0153
SG: Pmna

Cell and atoms, written as CIF:
```
data_PrSm4Dy3
_symmetry_space_group_name_H-M 'P 1'
_symmetry_Int_Tables_number 1
_cell_length_a 7.217
_cell_length_b 7.212
_cell_length_c 10.181
_cell_angle_alpha 90.00
_cell_angle_beta 90.00
_cell_angle_gamma 90.00
loop_
_symmetry_equiv_pos_as_xyz
'x,y,z'
loop_
_atom_site_label
_atom_site_type_symbol
_atom_site_fract_x
_atom_site_fract_y
_atom_site_fract_z
Pr1 Pr 0.500 0.811 0.000
Pr2 Pr 0.500 0.311 0.500
Sm1 Sm 0.000 0.811 0.000
Sm2 Sm 0.500 0.310 0.000
Sm3 Sm 0.752 0.061 0.750
Sm4 Sm 0.248 0.561 0.750
Sm5 Sm 0.500 0.810 0.500
Sm6 Sm 0.000 0.311 0.500
Sm7 Sm 0.248 0.561 0.250
Sm8 Sm 0.752 0.061 0.250
Dy1 Dy 0.000 0.311 0.000
Dy2 Dy 0.248 0.061 0.750
Dy3 Dy 0.752 0.561 0.750
Dy4 Dy 0.000 0.811 0.500
Dy5 Dy 0.752 0.561 0.250
Dy6 Dy 0.248 0.061 0.250
```


(10)
A plane-wave DFT calculation with PBE-GGA was carried out for a geometry-optimized Ta4N structure.

Calculated values
VASP energy (eV/atom): -11.583
SG: Pm-3m

Cell and atoms, written as CIF:
```
data_Ta4N
_symmetry_space_group_name_H-M 'P 1'
_symmetry_Int_Tables_number 1
_cell_length_a 4.296
_cell_length_b 4.296
_cell_length_c 4.296
_cell_angle_alpha 90.00
_cell_angle_beta 90.00
_cell_angle_gamma 90.00
loop_
_symmetry_equiv_pos_as_xyz
'x,y,z'
loop_
_atom_site_label
_atom_site_type_symbol
_atom_site_fract_x
_atom_site_fract_y
_atom_site_fract_z
Ta1 Ta 0.000 0.000 0.000
Ta2 Ta 0.500 0.000 0.500
Ta3 Ta 0.000 0.500 0.500
Ta4 Ta 0.500 0.500 0.000
N1 N 0.500 0.500 0.500
```


(11)
A plane-wave DFT calculation with PBE-GGA was carried out for a geometry-optimized Zr2GaTe2 structure.

Calculated values
VASP energy (eV/atom): -5.847
SG: P4/mbm

Cell and atoms, written as CIF:
```
data_Zr2GaTe2
_symmetry_space_group_name_H-M 'P 1'
_symmetry_Int_Tables_number 1
_cell_length_a 7.874
_cell_length_b 7.874
_cell_length_c 3.799
_cell_angle_alpha 90.00
_cell_angle_beta 90.00
_cell_angle_gamma 90.00
loop_
_symmetry_equiv_pos_as_xyz
'x,y,z'
loop_
_atom_site_label
_atom_site_type_symbol
_atom_site_fract_x
_atom_site_fract_y
_atom_site_fract_z
Te1 Te 0.147 0.647 0.500
Te2 Te 0.647 0.853 0.500
Te3 Te 0.853 0.353 0.500
Te4 Te 0.353 0.147 0.500
Ga1 Ga 0.000 0.000 0.000
Ga2 Ga 0.500 0.500 0.000
Zr1 Zr 0.351 0.851 0.000
Zr2 Zr 0.851 0.649 0.000
Zr3 Zr 0.649 0.149 0.000
Zr4 Zr 0.149 0.351 0.000
```


(12)
A plane-wave DFT calculation with PBE-GGA was carried out for a geometry-optimized MgSn2Ge structure.

Calculated values
Relative energy among the computed polymorphs (meV/atom): 11
VASP energy (eV/atom): -3.504
Energy relative to the elements (eV per atom): 0.0502
SG: P4/mmm

Cell and atoms, written as CIF:
```
data_MgSn2Ge
_symmetry_space_group_name_H-M 'P 1'
_symmetry_Int_Tables_number 1
_cell_length_a 3.496
_cell_length_b 3.496
_cell_length_c 7.780
_cell_angle_alpha 90.00
_cell_angle_beta 90.00
_cell_angle_gamma 90.00
loop_
_symmetry_equiv_pos_as_xyz
'x,y,z'
loop_
_atom_site_label
_atom_site_type_symbol
_atom_site_fract_x
_atom_site_fract_y
_atom_site_fract_z
Mg1 Mg 0.500 0.500 0.500
Ge1 Ge 0.500 0.500 0.000
Sn1 Sn 0.000 0.000 0.762
Sn2 Sn 0.000 0.000 0.238
```